Density functional theory data (PBE) for a relaxed Ca4TlHg crystal.

Unit cell a=6.7786 b=6.7786 c=6.7786 alpha=60.00 beta=60.00 gamma=60.00
With the nearest neighbours (Å) after each atom.
Element x y z (fractional)
1 Ca 0.8758 0.3747 0.3747  6 Ca 3.38-3.40
2 Ca 0.3747 0.3747 0.8758  6 Ca 3.38-3.40
3 Ca 0.3747 0.8758 0.3747  6 Ca 3.38-3.40
4 Ca 0.3747 0.3747 0.3747  6 Ca 3.38-3.40
5 Tl 0.0000 0.0000 0.0000  12 Ca 3.97, 4 Hg 4.15
6 Hg 0.7500 0.7500 0.7500  12 Ca 3.98, 4 Tl 4.15

Properties
Calculated formation energy = 0.187 eV per atom
Fermi-level density of states = 1.251 states/eV per atom
SG = No. 216
Calculated density = 4.262 Mg/m³
E = -1.592 eV/atom
Polymorph energy (0 for the lowest one) = 537 meV/atom

Density functional theory data (PBE) for a relaxed NaLa2YS4 crystal.

Unit cell a=4.0756 b=7.0961 c=7.0062 alpha=109.45 beta=90.00 gamma=90.00
With the nearest neighbours (Å) after each atom.
Element x y z (fractional)
1 Na 0.0000 0.0000 0.0000  6 S 2.84-2.87
2 La 0.5000 0.0000 0.5000  6 S 2.95
3 La 0.0000 0.5000 0.5000  6 S 2.89-2.92
4 Y 0.5000 0.5000 0.0000  6 S 2.81
5 S 0.5000 0.2539 0.2415  1 Y 2.81, 2 Na 2.87, 3 La 2.89-2.95
6 S 0.5000 0.7461 0.7585  1 Y 2.81, 2 Na 2.87, 3 La 2.89-2.95
7 S 0.0000 0.2585 0.7652  2 Y 2.81, 1 Na 2.84, 3 La 2.92-2.95
8 S 0.0000 0.7415 0.2348  2 Y 2.81, 1 Na 2.84, 3 La 2.92-2.95

Properties
Fermi-level density of states = 0.379 states/eV per atom
SG = No. 10
Calculated density = 4.502 Mg/m³
E = -6.231 eV/atom

Density functional theory data (PBE) for a relaxed FeNi2Se crystal.

Unit cell a=6.6138 b=6.6138 c=5.2374 alpha=50.85 beta=50.85 gamma=90.00
With the nearest neighbours (Å) after each atom.
Element x y z (fractional)
1 Ni 0.6416 0.1250 0.2500  2 Se 2.34, 2 Ni 2.37, 2 Fe 2.49
2 Ni 0.1084 0.6250 0.2500  2 Se 2.34, 2 Ni 2.37, 2 Fe 2.49
3 Ni 0.3750 0.3584 0.7500  2 Se 2.34, 2 Ni 2.37, 2 Fe 2.49
4 Ni 0.8750 0.8916 0.7500  2 Se 2.34, 2 Ni 2.37, 2 Fe 2.49
5 Fe 0.5000 0.5000 0.0000  2 Se 2.36, 4 Ni 2.49
6 Fe 0.2500 0.7500 0.5000  2 Se 2.36, 4 Ni 2.49
7 Se 0.0000 0.0000 0.0000  4 Ni 2.34, 2 Fe 2.36
8 Se 0.7500 0.2500 0.5000  4 Ni 2.34, 2 Fe 2.36

Properties
Fermi-level density of states = 2.382 states/eV per atom
SG = No. 122
Calculated density = 8.121 Mg/m³
E = -5.509 eV/atom

Density functional theory data (PBE) for a relaxed CuTc crystal.

Unit cell a=7.2057 b=7.2057 c=4.4165 alpha=90.00 beta=90.00 gamma=90.00
With the nearest neighbours (Å) after each atom.
Element x y z (fractional)
1 Cu 0.9297 0.2432 0.0000  4 Cu 2.43-2.58, 2 Tc 2.53-2.65
2 Cu 0.9297 0.7568 0.5000  4 Cu 2.43-2.58, 2 Tc 2.53-2.65
3 Cu 0.0703 0.2432 0.5000  4 Cu 2.43-2.58, 2 Tc 2.53-2.65
4 Cu 0.0703 0.7568 0.0000  4 Cu 2.43-2.58, 2 Tc 2.53-2.65
5 Cu 0.7568 0.0703 0.5000  4 Cu 2.43-2.58, 2 Tc 2.53-2.65
6 Cu 0.7568 0.9297 0.0000  4 Cu 2.43-2.58, 2 Tc 2.53-2.65
7 Cu 0.2432 0.0703 0.0000  4 Cu 2.43-2.58, 2 Tc 2.53-2.65
8 Cu 0.2432 0.9297 0.5000  4 Cu 2.43-2.58, 2 Tc 2.53-2.65
9 Tc 0.7484 0.5780 0.0000  4 Tc 2.48-2.65, 3 Cu 2.53-2.74
10 Tc 0.7484 0.4220 0.5000  4 Tc 2.48-2.65, 3 Cu 2.53-2.74
11 Tc 0.2516 0.5780 0.5000  4 Tc 2.48-2.65, 3 Cu 2.53-2.74
12 Tc 0.2516 0.4220 0.0000  4 Tc 2.48-2.65, 3 Cu 2.53-2.74
13 Tc 0.4220 0.2516 0.5000  4 Tc 2.48-2.65, 3 Cu 2.53-2.74
14 Tc 0.4220 0.7484 0.0000  4 Tc 2.48-2.65, 3 Cu 2.53-2.74
15 Tc 0.5780 0.2516 0.0000  4 Tc 2.48-2.65, 3 Cu 2.53-2.74
16 Tc 0.5780 0.7484 0.5000  4 Tc 2.48-2.65, 3 Cu 2.53-2.74

Properties
Calculated formation energy = 0.349 eV per atom
Fermi-level density of states = 0.618 states/eV per atom
SG = No. 124
Calculated density = 9.358 Mg/m³
E = -6.882 eV/atom
Polymorph energy (0 for the lowest one) = 256 meV/atom

Density functional theory data (PBE) for a relaxed Ac4In2N crystal.

Unit cell a=3.7477 b=5.4170 c=13.1661 alpha=101.87 beta=90.00 gamma=90.00
With the nearest neighbours (Å) after each atom.
Element x y z (fractional)
1 Ac 0.5000 0.5667 0.1334  2 N 2.54
2 Ac 0.0000 0.7029 0.4058  4 In 3.46, 4 Ac 3.64-3.75
3 Ac 0.5000 0.4333 0.8666  2 N 2.54
4 Ac 0.0000 0.2971 0.5942  4 In 3.46, 4 Ac 3.64-3.75
5 In 0.5000 0.1612 0.3223  6 Ac 3.46-3.64, 2 In 3.75
6 In 0.5000 0.8388 0.6777  6 Ac 3.46-3.64, 2 In 3.75
7 N 0.0000 0.5000 0.0000  4 Ac 2.54

Properties
Fermi-level density of states = 0.866 states/eV per atom
SG = No. 65
Calculated density = 7.311 Mg/m³
E = -4.622 eV/atom
Polymorph energy (0 for the lowest one) = 259 meV/atom

Density functional theory data (PBE) for a relaxed Sr4OsAu crystal.

Unit cell a=6.3978 b=6.3978 c=6.3978 alpha=60.00 beta=60.00 gamma=60.00
With the nearest neighbours (Å) after each atom.
Element x y z (fractional)
1 Sr 0.8778 0.3741 0.3741  6 Sr 3.18-3.22
2 Sr 0.3741 0.3741 0.8778  6 Sr 3.18-3.22
3 Sr 0.3741 0.8778 0.3741  6 Sr 3.18-3.22
4 Sr 0.3741 0.3741 0.3741  6 Sr 3.18-3.22
5 Os 0.0000 0.0000 0.0000  12 Sr 3.75, 4 Au 3.92
6 Au 0.7500 0.7500 0.7500  12 Sr 3.75, 4 Os 3.92

Properties
Calculated formation energy = 1.125 eV per atom
Fermi-level density of states = 1.009 states/eV per atom
SG = No. 216
Calculated density = 6.615 Mg/m³
E = -2.414 eV/atom

Density functional theory data (PBE) for a relaxed SrOsRu crystal.

Unit cell a=6.1391 b=6.1391 c=6.1391 alpha=152.88 beta=143.44 gamma=46.11
With the nearest neighbours (Å) after each atom.
Element x y z (fractional)
1 Os 0.9548 0.9548 0.0000  4 Ru 2.55
2 Ru 0.3794 0.3794 0.0000  4 Os 2.55
3 Sr 0.6658 0.6658 0.0000  2 Sr 2.88

Properties
Calculated formation energy = 0.456 eV per atom
Fermi-level density of states = 0.863 states/eV per atom
SG = No. 44
Calculated density = 10.047 Mg/m³
E = -6.940 eV/atom
Polymorph energy (0 for the lowest one) = 200 meV/atom

Density functional theory data (PBE) for a relaxed Er2Sc3In4 crystal.

Unit cell a=6.6647 b=8.7069 c=8.6548 alpha=90.00 beta=112.65 gamma=90.00
With the nearest neighbours (Å) after each atom.
Element x y z (fractional)
1 Er 0.1131 0.5776 0.2262  8 In 3.24-3.54, 2 Sc 3.55
2 Er 0.8869 0.4224 0.7738  8 In 3.24-3.54, 2 Sc 3.55
3 Er 0.3869 0.0776 0.7738  8 In 3.24-3.54, 2 Sc 3.55
4 Er 0.6131 0.9224 0.2262  8 In 3.24-3.54, 2 Sc 3.55
5 Sc 0.0000 0.0000 0.0000  6 In 2.79-2.97
6 Sc 0.5000 0.5000 0.0000  6 In 2.79-2.97
7 Sc 0.5352 0.7500 0.5703  5 In 2.90-3.09
8 Sc 0.9648 0.2500 0.4297  5 In 2.90-3.09
9 Sc 0.4648 0.2500 0.4297  5 In 2.90-3.09
10 Sc 0.0352 0.7500 0.5703  5 In 2.90-3.09
11 In 0.7166 0.7500 0.9332  3 Sc 2.79-2.90
12 In 0.7834 0.2500 0.0668  3 Sc 2.79-2.90
13 In 0.2834 0.2500 0.0668  3 Sc 2.79-2.90
14 In 0.2166 0.7500 0.9332  3 Sc 2.79-2.90
15 In 0.1847 0.9567 0.3693  5 Sc 2.93-3.09
16 In 0.8153 0.0433 0.6307  5 Sc 2.93-3.09
17 In 0.3153 0.4567 0.6307  5 Sc 2.93-3.09
18 In 0.6847 0.5433 0.3693  5 Sc 2.93-3.09

Properties
Calculated formation energy = -0.269 eV per atom
Fermi-level density of states = 0.893 states/eV per atom
SG = No. 64
Calculated density = 6.654 Mg/m³
E = -4.611 eV/atom

Density functional theory data (PBE) for a relaxed Tm3Ga2SiRu3 crystal.

Unit cell a=3.4652 b=7.3027 c=7.3027 alpha=120.00 beta=90.00 gamma=90.00
With the nearest neighbours (Å) after each atom.
Element x y z (fractional)
1 Tm 0.0000 0.0000 0.3866  1 Si 2.82, 4 Ga 2.85, 4 Ru 3.02
2 Tm 0.0000 0.6134 0.6134  1 Si 2.82, 4 Ga 2.85, 4 Ru 3.02
3 Tm 0.0000 0.3866 0.0000  1 Si 2.82, 4 Ga 2.85, 4 Ru 3.02
4 Ga 0.5000 0.3333 0.6667  3 Ru 2.83, 6 Tm 2.85
5 Ga 0.5000 0.6667 0.3333  3 Ru 2.83, 6 Tm 2.85
6 Si 0.0000 0.0000 0.0000  6 Ru 2.48
7 Ru 0.5000 0.7576 0.0000  2 Si 2.48
8 Ru 0.5000 0.2424 0.2424  2 Si 2.48
9 Ru 0.5000 0.0000 0.7576  2 Si 2.48

Properties
Fermi-level density of states = 0.607 states/eV per atom
SG = No. 189
Calculated density = 10.143 Mg/m³
E = -6.546 eV/atom

Density functional theory data (PBE) for a relaxed Pa2TaCrN6 crystal.

Unit cell a=4.7726 b=5.3036 c=5.3036 alpha=90.00 beta=90.00 gamma=90.00
With the nearest neighbours (Å) after each atom.
Element x y z (fractional)
1 Pa 0.9952 0.5000 0.0000  4 N 2.27
2 Pa 0.9952 0.0000 0.5000  4 N 2.27
3 Ta 0.5775 0.5000 0.5000  5 N 1.91-2.04
4 Cr 0.5804 0.0000 0.0000  5 N 1.77-1.97
5 N 0.7279 0.2457 0.2457  1 Cr 1.97, 1 Ta 2.04
6 N 0.7279 0.2457 0.7543  1 Cr 1.97, 1 Ta 2.04
7 N 0.1764 0.5000 0.5000  1 Ta 1.91
8 N 0.2104 0.0000 0.0000  1 Cr 1.77
9 N 0.7279 0.7543 0.7543  1 Cr 1.97, 1 Ta 2.04
10 N 0.7279 0.7543 0.2457  1 Cr 1.97, 1 Ta 2.04

Properties
Fermi-level density of states = 0.461 states/eV per atom
SG = No. 99
Calculated density = 9.636 Mg/m³
E = -10.098 eV/atom

Density functional theory data (PBE) for a relaxed Na3Sm2SnS6 crystal.

Unit cell a=7.0074 b=7.0074 c=7.0836 alpha=99.49 beta=99.49 gamma=120.00
With the nearest neighbours (Å) after each atom.
Element x y z (fractional)
1 Na 0.1634 0.8366 0.5000  6 S 2.92-3.01
2 Na 0.8366 0.1634 0.5000  6 S 2.92-3.01
3 Na 0.5000 0.5000 0.5000  6 S 2.93-2.99
4 Sm 0.3331 0.6669 0.0000  6 S 2.81-2.82
5 Sm 0.6669 0.3331 0.0000  6 S 2.81-2.82
6 Sn 0.0000 0.0000 0.0000  6 S 2.75-2.76
7 S 0.9230 0.5961 0.7699  1 Sn 2.76, 2 Sm 2.81-2.82, 3 Na 2.93-3.01
8 S 0.7488 0.7488 0.2282  1 Sn 2.75, 2 Sm 2.81, 3 Na 2.92-2.99
9 S 0.0770 0.4039 0.2301  1 Sn 2.76, 2 Sm 2.81-2.82, 3 Na 2.93-3.01
10 S 0.5961 0.9230 0.7699  1 Sn 2.76, 2 Sm 2.81-2.82, 3 Na 2.93-3.01
11 S 0.2512 0.2512 0.7718  1 Sn 2.75, 2 Sm 2.81, 3 Na 2.92-2.99
12 S 0.4039 0.0770 0.2301  1 Sn 2.76, 2 Sm 2.81-2.82, 3 Na 2.93-3.01

Properties
Fermi-level density of states = 0.404 states/eV per atom
SG = No. 12
Calculated density = 3.975 Mg/m³
E = -4.939 eV/atom

Density functional theory data (PBE) for a relaxed DyPuInAg crystal.

Unit cell a=5.2802 b=5.2802 c=5.2802 alpha=60.00 beta=60.00 gamma=60.00
With the nearest neighbours (Å) after each atom.
Element x y z (fractional)
1 Dy 0.5000 0.5000 0.5000  4 In 3.23, 4 Ag 3.23
2 In 0.7500 0.7500 0.7500  4 Pu 3.23, 4 Dy 3.23
3 Ag 0.2500 0.2500 0.2500  4 Dy 3.23, 4 Pu 3.23
4 Pu 0.0000 0.0000 0.0000  4 Ag 3.23, 4 In 3.23

Properties
Calculated formation energy = -0.152 eV per atom
Fermi-level density of states = 2.559 states/eV per atom
SG = No. 216
Calculated density = 10.037 Mg/m³
E = -6.283 eV/atom

What did the fourth record say?
Density functional theory data (PBE) for a relaxed CuTc crystal.

Unit cell a=7.2057 b=7.2057 c=4.4165 alpha=90.00 beta=90.00 gamma=90.00
With the nearest neighbours (Å) after each atom.
Element x y z (fractional)
1 Cu 0.9297 0.2432 0.0000  4 Cu 2.43-2.58, 2 Tc 2.53-2.65
2 Cu 0.9297 0.7568 0.5000  4 Cu 2.43-2.58, 2 Tc 2.53-2.65
3 Cu 0.0703 0.2432 0.5000  4 Cu 2.43-2.58, 2 Tc 2.53-2.65
4 Cu 0.0703 0.7568 0.0000  4 Cu 2.43-2.58, 2 Tc 2.53-2.65
5 Cu 0.7568 0.0703 0.5000  4 Cu 2.43-2.58, 2 Tc 2.53-2.65
6 Cu 0.7568 0.9297 0.0000  4 Cu 2.43-2.58, 2 Tc 2.53-2.65
7 Cu 0.2432 0.0703 0.0000  4 Cu 2.43-2.58, 2 Tc 2.53-2.65
8 Cu 0.2432 0.9297 0.5000  4 Cu 2.43-2.58, 2 Tc 2.53-2.65
9 Tc 0.7484 0.5780 0.0000  4 Tc 2.48-2.65, 3 Cu 2.53-2.74
10 Tc 0.7484 0.4220 0.5000  4 Tc 2.48-2.65, 3 Cu 2.53-2.74
11 Tc 0.2516 0.5780 0.5000  4 Tc 2.48-2.65, 3 Cu 2.53-2.74
12 Tc 0.2516 0.4220 0.0000  4 Tc 2.48-2.65, 3 Cu 2.53-2.74
13 Tc 0.4220 0.2516 0.5000  4 Tc 2.48-2.65, 3 Cu 2.53-2.74
14 Tc 0.4220 0.7484 0.0000  4 Tc 2.48-2.65, 3 Cu 2.53-2.74
15 Tc 0.5780 0.2516 0.0000  4 Tc 2.48-2.65, 3 Cu 2.53-2.74
16 Tc 0.5780 0.7484 0.5000  4 Tc 2.48-2.65, 3 Cu 2.53-2.74

Properties
Calculated formation energy = 0.349 eV per atom
Fermi-level density of states = 0.618 states/eV per atom
SG = No. 124
Calculated density = 9.358 Mg/m³
E = -6.882 eV/atom
Polymorph energy (0 for the lowest one) = 256 meV/atom

- Look up the calculated density of the sixth one.
  6.615 Mg/m³

- What is the formula in the sixth record?
  Sr4OsAu

- calculated density of number 5 (Ac4In2N)?
  7.311 Mg/m³